This record from the Alexandria database describes RbCrPbCl6 after structural relaxation. The functional is GGA-PBE.

Structure (POSCAR):
```
RbCrPbCl6
1.0
7.030 0.000 0.000
3.515 6.088 0.000
0.000 0.000 6.988
Cl Cr Pb Rb
6 1 1 1
direct
0.056 0.603 0.700
0.056 0.341 0.300
0.341 0.056 0.700
0.603 0.056 0.300
0.603 0.341 0.700
0.341 0.603 0.300
0.333 0.333 0.500
0.667 0.667 0.500
0.000 0.000 0.000
```

Computed properties:
Total DFT energy (no corrections), eV/atom: -4.1468
Space group: P312 (149)
Formation energy from raw total energies, eV/atom: -1.327
Spin magnetization, μB/f.u.: 3.00

---

This record from the Alexandria database describes YHoTm2 after structural relaxation. The functional is GGA-PBE.

Structure (POSCAR):
```
YHoTm2
1.0
-1.117 -5.025 -2.261
4.201 -3.246 -1.852
1.358 -4.696 2.777
Tm Ho Y
2 1 1
direct
0.250 0.250 0.250
0.750 0.750 0.750
0.000 0.000 0.000
0.500 0.500 0.500
```

Computed properties:
E_form, meV/atom: 136.5
Total DFT energy (no corrections), eV/atom: -4.8598
Space group: Fm-3m (225)
N(E_F), states/eV/atom: 2.548
Distance to the lowest polymorph of the same formula, eV/atom: 0.133
Spin magnetization, μB/f.u.: 0.02

---

This record from the Alexandria database describes Cd2AgBr after structural relaxation. The functional is GGA-PBE.

Structure (POSCAR):
```
Cd2AgBr
1.0
6.730 0.040 0.000
4.192 5.264 0.000
-5.461 -2.652 2.904
Br Cd Ag
1 2 1
direct
0.750 0.250 0.500
0.500 0.500 0.000
0.000 0.000 0.000
0.250 0.750 0.500
```

Computed properties:
Total DFT energy (no corrections), eV/atom: -1.5822
Space group: I4/mmm (139)
Formation energy from raw total energies, eV/atom: 0.006
N(E_F), states/eV/atom: 0.248
Distance to the lowest polymorph of the same formula, eV/atom: 0.163
Spin magnetization, μB/f.u.: 0.00

---

This record from the Alexandria database describes SnRuNF2 after structural relaxation. The functional is GGA-PBE.

Structure (POSCAR):
```
SnRuNF2
1.0
-0.460 -4.146 1.132
4.249 -0.268 0.744
-0.596 1.103 3.798
F Ru N Sn
2 1 1 1
direct
0.000 0.500 0.000
0.500 0.000 0.000
0.500 0.500 0.500
0.000 0.000 0.500
0.000 0.000 0.000
```

Computed properties:
Total DFT energy (no corrections), eV/atom: -4.9982
Space group: P4/mmm (123)
Formation energy from raw total energies, eV/atom: 0.071
N(E_F), states/eV/atom: 0.771
Distance to the lowest polymorph of the same formula, eV/atom: 0.603
Spin magnetization, μB/f.u.: 3.22